Record 1
Computed, not measured: an optimized crystal structure of ErCdAs2O8 at the PBE level of DFT.

POSCAR file:
```
ErCdAs2O8
1.0
5.989 0.038 0.000
-2.622 5.385 0.000
-1.684 -2.712 5.068
O Cd Er As
8 1 1 2
direct
0.931 0.252 0.321
0.331 0.518 0.187
0.482 0.669 0.813
0.748 0.069 0.679
0.931 0.609 0.679
0.856 0.669 0.187
0.391 0.069 0.321
0.331 0.144 0.813
0.000 0.000 0.000
0.250 0.750 0.500
0.750 0.250 0.500
0.500 0.500 0.000
```

Computed properties:
Formation energy without anion corrections in eV/atom: -1.625
Space group: I-4m2
Magnetization in μB per atom: 0.092

Record 2
Computed, not measured: an optimized crystal structure of ErCdAsO5 at the PBE level of DFT.

POSCAR file:
```
ErCdAsO5
1.0
-0.137 -3.625 -4.845
3.037 -3.791 3.611
-7.495 0.659 2.826
Cd O As Er
2 10 2 2
direct
0.318 0.682 0.250
0.682 0.318 0.750
0.090 0.910 0.250
0.705 0.656 0.365
0.277 0.792 0.593
0.208 0.723 0.907
0.295 0.344 0.635
0.910 0.090 0.750
0.656 0.705 0.865
0.344 0.295 0.135
0.723 0.208 0.407
0.792 0.277 0.093
0.349 0.651 0.750
0.651 0.349 0.250
0.000 0.000 0.000
0.000 0.000 0.500
```

Computed properties:
Formation energy without anion corrections in eV/atom: -1.984
Space group: C2/c
Magnetization in μB per atom: 0.000

Record 3
Computed, not measured: an optimized crystal structure of ErCdAs2Pd5 at the PBE level of DFT.

POSCAR file:
```
ErCdAs2Pd5
1.0
4.244 0.000 0.000
0.000 4.244 0.000
0.000 0.000 8.784
Pd Er As Cd
5 1 2 1
direct
0.500 0.500 0.500
0.500 0.000 0.722
0.000 0.500 0.722
0.500 0.000 0.278
0.000 0.500 0.278
0.000 0.000 0.000
0.500 0.500 0.139
0.500 0.500 0.861
0.000 0.000 0.500
```

Computed properties:
Energy of formation from the pure elements in meV/atom: -620
Space group: P4/mmm
Magnetization in μB per atom: 0.000

Record 4
Computed, not measured: an optimized crystal structure of ErCdAs2Rh5 at the PBE level of DFT.

POSCAR file:
```
ErCdAs2Rh5
1.0
-3.485 2.291 -0.560
-2.121 -2.607 2.532
2.095 4.834 6.734
Rh Cd As Er
5 1 2 1
direct
0.500 0.000 0.724
0.500 0.000 0.276
0.000 0.500 0.276
0.000 0.500 0.724
0.500 0.500 0.500
0.000 0.000 0.500
0.500 0.500 0.146
0.500 0.500 0.854
0.000 0.000 0.000
```

Computed properties:
Energy of formation from the pure elements in meV/atom: -505
Space group: P4/mmm
Magnetization in μB per atom: 0.000

Record 5
Computed, not measured: an optimized crystal structure of Eu2Cd2As3 at the PBE level of DFT.

POSCAR file:
```
Eu2Cd2As3
1.0
4.440 0.000 0.000
2.220 8.107 -0.010
2.220 0.826 9.968
As Eu Cd
6 4 4
direct
0.084 0.952 0.880
0.837 0.504 0.821
0.631 0.214 0.524
0.916 0.048 0.120
0.369 0.786 0.476
0.163 0.496 0.179
0.604 0.744 0.049
0.396 0.256 0.951
0.730 0.867 0.672
0.270 0.133 0.328
0.049 0.218 0.684
0.951 0.782 0.316
0.592 0.477 0.339
0.408 0.523 0.661
```

Computed properties:
Energy of formation from the pure elements in meV/atom: -767
Space group: C2/m
Magnetization in μB per atom: 0.003

Record 6
Computed, not measured: an optimized crystal structure of EuCdAs2 at the PBE level of DFT.

POSCAR file:
```
EuCdAs2
1.0
-3.126 -3.122 0.778
1.105 -3.805 2.104
-1.844 0.101 5.932
As Eu Cd
2 1 1
direct
0.744 0.744 0.768
0.256 0.256 0.232
0.500 0.500 0.500
0.000 0.000 0.000
```

Computed properties:
Energy of formation from the pure elements in meV/atom: -432
Space group: R-3m
Magnetization in μB per atom: 1.626

Record 7
Computed, not measured: an optimized crystal structure of EuCdAs2 at the PBE level of DFT.

POSCAR file:
```
EuCdAs2
1.0
4.093 0.000 0.000
0.000 4.692 0.000
0.000 0.000 4.692
Cd Eu As
1 1 2
direct
0.500 0.000 0.000
0.500 0.500 0.500
0.000 0.000 0.500
0.000 0.500 0.000
```

Computed properties:
Energy of formation from the pure elements in meV/atom: -521
Space group: P4/mmm
Magnetization in μB per atom: 1.679

Record 8
Computed, not measured: an optimized crystal structure of Eu2Cd2As3 at the PBE level of DFT.

POSCAR file:
```
Eu2Cd2As3
1.0
-6.139 -3.118 -7.114
-3.020 -7.820 -5.269
-11.209 -9.108 -4.257
Cd As Eu
4 6 4
direct
0.789 0.789 0.479
0.510 0.510 0.089
0.490 0.490 0.911
0.211 0.211 0.521
0.630 0.630 0.217
0.920 0.920 0.934
0.790 0.790 0.664
0.080 0.080 0.066
0.210 0.210 0.336
0.370 0.370 0.783
0.279 0.279 0.676
0.142 0.142 0.206
0.721 0.721 0.324
0.858 0.858 0.794
```

Computed properties:
Energy of formation from the pure elements in meV/atom: -574
Space group: C2/m
Magnetization in μB per atom: 0.007